9
Lattice="5.6780 0.0000 0.0000 -2.8390 4.9173 0.0000 0.0000 0.0000 5.2611" Properties=species:S:1:pos:R:3 comment="AcPmPtO6 | the Alexandria database | PBE | relaxed" sg="P312 (149)" magmom_total_mub_per_fu=1.70 total_energy_ev_per_atom=-6.92 pbc="T T T"
Ac 0.0000 0.0000 0.0000
Pm 0.0000 3.2782 2.6305
Pt 2.8390 1.6391 2.6305
O 2.0241 0.2225 3.7704
O 1.2047 1.6417 1.4907
O 3.6539 0.2225 1.4907
O 2.0196 3.0531 3.7704
O 4.4733 1.6417 3.7704
O 3.6584 3.0531 1.4907